A relaxed NbNiBr2Cl crystal, computed with PBE-GGA.

Lattice parameters (Å, degrees): 5.9560 5.9560 3.9210 90.00 90.00 90.00
Space group P4/mmm (No. 123)
Inequivalent atoms, fractional coordinates:
Nb (0.0000, 0.0000, 0.0000)
Ni (0.5000, 0.5000, 0.0000)
Br (0.0000, 0.5000, 0.5000)
Cl (0.5000, 0.5000, 0.5000)

- Energy relative to the elements, uncorrected: 0.901 eV/atom


A relaxed Ni2WCl crystal, computed with PBE-GGA.

Lattice parameters (Å, degrees): 2.8254 2.8254 7.0600 90.00 90.00 90.00
Space group P4/mmm (No. 123)
Inequivalent atoms, fractional coordinates:
Ni (0.0000, 0.0000, 0.2405)
W (0.5000, 0.5000, 0.0000)
Cl (0.5000, 0.5000, 0.5000)

- Energy relative to the elements, uncorrected: 0.232 eV/atom


A relaxed TaZn2Pd2 crystal, computed with PBE-GGA.

Lattice parameters (Å, degrees): 7.3730 7.3730 2.8161 90.00 90.00 90.00
Space group P4/mbm (No. 127)
Inequivalent atoms, fractional coordinates:
Ta (0.0000, 0.0000, 0.0000)
Zn (0.1211, 0.3789, 0.0000)
Pd (0.1777, 0.6777, 0.5000)

- ΔE_f: -244 meV/atom


What E_tot values result from the calculations? In sequence: -16.539; -25.434; -52.010 eV for the cell shown.
What volume values result from the calculations? In sequence: 139; 56; 153 Å³ per cell.